## LiCr4O12 (GGA-PBEsol)

Data for LiCr4O12 after structural relaxation.

abc: 15.3151 15.3151 15.3151
angles: 148.55 148.55 45.07
Element x y z (fractional)
Li  0.1250  0.3750  0.7500
Li  0.3750  0.1250  0.2500
Li  0.6250  0.8750  0.7500
Li  0.8750  0.6250  0.2500
Cr  0.0592  0.0947  0.2527
Cr  0.0947  0.3420  0.0355
Cr  0.1580  0.4053  0.4645
Cr  0.1934  0.9408  0.5355
Cr  0.3066  0.8420  0.7473
Cr  0.3420  0.8066  0.2473
Cr  0.4053  0.4408  0.2473
Cr  0.4408  0.6934  0.0355
Cr  0.5592  0.3066  0.9645
Cr  0.5947  0.5592  0.7527
Cr  0.6580  0.1934  0.7527
Cr  0.6934  0.1580  0.2527
Cr  0.8066  0.0592  0.4645
Cr  0.8420  0.5947  0.5355
Cr  0.9053  0.6580  0.9645
Cr  0.9408  0.9053  0.7473
O  0.0147  0.5314  0.8994
O  0.0314  0.5147  0.3994
O  0.0326  0.7826  0.2500
O  0.0392  0.2500  0.2892
O  0.1054  0.1813  0.4569
O  0.1152  0.0147  0.9833
O  0.1320  0.1152  0.6006
O  0.1484  0.7243  0.5431
O  0.1813  0.2243  0.0759
O  0.2174  0.9674  0.2500
O  0.2243  0.6484  0.0431
O  0.2500  0.4608  0.2108
O  0.2500  0.9608  0.7108
O  0.2757  0.3187  0.4241
O  0.2826  0.5326  0.7500
O  0.3187  0.3946  0.0431
O  0.3516  0.8946  0.5759
O  0.3680  0.9686  0.9833
O  0.3848  0.3680  0.8994
O  0.3946  0.8516  0.0759
O  0.4608  0.7500  0.2108
O  0.4674  0.7174  0.7500
O  0.4686  0.8680  0.4833
O  0.4853  0.3848  0.5167
O  0.5147  0.6152  0.4833
O  0.5314  0.1320  0.5167
O  0.5326  0.2826  0.2500
O  0.5392  0.2500  0.7892
O  0.6054  0.1484  0.9241
O  0.6152  0.6320  0.1006
O  0.6320  0.0314  0.0167
O  0.6484  0.1054  0.4241
O  0.6813  0.6054  0.9569
O  0.7174  0.4674  0.2500
O  0.7243  0.6813  0.5759
O  0.7500  0.0392  0.2892
O  0.7500  0.5392  0.7892
O  0.7757  0.3516  0.9569
O  0.7826  0.0326  0.7500
O  0.8187  0.7757  0.9241
O  0.8516  0.2757  0.4569
O  0.8680  0.8848  0.3994
O  0.8848  0.9853  0.0167
O  0.8946  0.8187  0.5431
O  0.9608  0.7500  0.7108
O  0.9674  0.2174  0.7500
O  0.9686  0.4853  0.6006
O  0.9853  0.4686  0.1006

Summary:
E_form (uncorrected) = -1.66 eV/atom
total magnetization = 1.7 Bohr magnetons per cell
symmetry = I4_1/acd

---

## Co2NiW (GGA-PBEsol)

Data for Co2NiW after structural relaxation.

abc: 2.5174 4.1059 4.5543
angles: 90.00 96.21 90.00
Element x y z (fractional)
Co  0.2143  0.0000  0.2652
Co  0.7857  0.0000  0.7348
Ni  0.0000  0.5000  0.5000
W  0.5000  0.5000  0.0000

Summary:
total magnetization = 2.3 Bohr magnetons per cell
symmetry = P2/m
distance to the lowest polymorph of the same formula = 256 meV/atom
formation energy from the elements = 0.176 eV per atom

---

## Mg2CdPt (GGA-PBEsol)

Data for Mg2CdPt after structural relaxation.

abc: 3.1755 3.1755 7.0937
angles: 90.00 90.00 90.00
Element x y z (fractional)
Mg  0.0000  0.0000  0.2150
Mg  0.0000  0.0000  0.7850
Cd  0.5000  0.5000  0.5000
Pt  0.5000  0.5000  0.0000

Summary:
total magnetization = 0.0 Bohr magnetons per cell
symmetry = P4/mmm
formation energy from the elements = -0.491 eV per atom

---

## Li2Fe3TeO8 (GGA-PBEsol)

Data for Li2Fe3TeO8 after structural relaxation.

abc: 5.9242 5.7987 9.8780
angles: 90.00 122.94 90.00
Element x y z (fractional)
Li  0.1037  0.2484  0.1168
Li  0.1037  0.7516  0.6168
Li  0.8963  0.2484  0.3832
Li  0.8963  0.7516  0.8832
Fe  0.5000  0.0000  0.0000
Fe  0.5000  0.0000  0.5000
Fe  0.5000  0.2612  0.7500
Fe  0.5000  0.5000  0.0000
Fe  0.5000  0.5000  0.5000
Fe  0.5000  0.7388  0.2500
Te  0.0000  0.2604  0.7500
Te  0.0000  0.7396  0.2500
O  0.2508  0.0362  0.7477
O  0.2508  0.9638  0.2477
O  0.2561  0.2696  0.9888
O  0.2561  0.7304  0.4888
O  0.2774  0.4877  0.7674
O  0.2774  0.5123  0.2674
O  0.2988  0.2625  0.5196
O  0.2988  0.7375  0.0196
O  0.7012  0.2625  0.9804
O  0.7012  0.7375  0.4804
O  0.7226  0.4877  0.7326
O  0.7226  0.5123  0.2326
O  0.7439  0.2696  0.5112
O  0.7439  0.7304  0.0112
O  0.7492  0.0362  0.7523
O  0.7492  0.9638  0.2523

Summary:
E_form (uncorrected) = -1.37 eV/atom
total magnetization = 12.0 Bohr magnetons per cell
symmetry = P2/c
distance to the lowest polymorph of the same formula = 0 meV/atom

---

## Ta2NiAu (GGA-PBEsol)

Data for Ta2NiAu after structural relaxation.

abc: 3.1807 3.2866 5.9877
angles: 90.00 90.00 90.00
Element x y z (fractional)
Ta  0.0000  0.0000  0.0000
Ta  0.5000  0.5000  0.2915
Ni  0.5000  0.5000  0.7924
Au  0.0000  0.0000  0.5481

Summary:
total magnetization = 0.0 Bohr magnetons per cell
symmetry = Pmm2
distance to the lowest polymorph of the same formula = 0 meV/atom
formation energy from the elements = -0.173 eV per atom

---

## KNbO3 (GGA-PBEsol)

Data for KNbO3 after structural relaxation.

abc: 3.9957 5.7215 5.7389
angles: 90.00 90.00 90.00
Element x y z (fractional)
K  0.0000  0.0000  0.0000
K  0.0000  0.5000  0.5000
Nb  0.5000  0.0000  0.5115
Nb  0.5000  0.5000  0.0115
O  0.0000  0.0000  0.4795
O  0.0000  0.5000  0.9795
O  0.5000  0.2487  0.7325
O  0.5000  0.2513  0.2325
O  0.5000  0.7487  0.2325
O  0.5000  0.7513  0.7325

Summary:
E_form (uncorrected) = -2.46 eV/atom
total magnetization = 0.0 Bohr magnetons per cell
symmetry = Amm2

---

## CuRe2W (GGA-PBEsol)

Data for CuRe2W after structural relaxation.

abc: 3.1647 3.1647 5.6485
angles: 90.00 90.00 90.00
Element x y z (fractional)
Cu  0.0000  0.0000  0.0000
Re  0.0000  0.0000  0.4980
Re  0.5000  0.5000  0.2290
W  0.5000  0.5000  0.7676

Summary:
total magnetization = 0.0 Bohr magnetons per cell
symmetry = P4mm
formation energy from the elements = 0.323 eV per atom

---

## Be2TlP (GGA-PBEsol)

Data for Be2TlP after structural relaxation.

abc: 4.0911 4.0911 7.1572
angles: 90.00 90.00 90.00
Element x y z (fractional)
Be  0.0000  0.5000  0.2500
Be  0.0000  0.5000  0.7500
Be  0.5000  0.0000  0.2500
Be  0.5000  0.0000  0.7500
Tl  0.0000  0.0000  0.0000
Tl  0.5000  0.5000  0.5000
P  0.0000  0.0000  0.5000
P  0.5000  0.5000  0.0000

Summary:
total magnetization = 0.0 Bohr magnetons per cell
symmetry = I4/mmm
distance to the lowest polymorph of the same formula = 544 meV/atom
formation energy from the elements = 0.758 eV per atom

---

Repeat the fourth record exactly.
## Li2Fe3TeO8 (GGA-PBEsol)

Data for Li2Fe3TeO8 after structural relaxation.

abc: 5.9242 5.7987 9.8780
angles: 90.00 122.94 90.00
Element x y z (fractional)
Li  0.1037  0.2484  0.1168
Li  0.1037  0.7516  0.6168
Li  0.8963  0.2484  0.3832
Li  0.8963  0.7516  0.8832
Fe  0.5000  0.0000  0.0000
Fe  0.5000  0.0000  0.5000
Fe  0.5000  0.2612  0.7500
Fe  0.5000  0.5000  0.0000
Fe  0.5000  0.5000  0.5000
Fe  0.5000  0.7388  0.2500
Te  0.0000  0.2604  0.7500
Te  0.0000  0.7396  0.2500
O  0.2508  0.0362  0.7477
O  0.2508  0.9638  0.2477
O  0.2561  0.2696  0.9888
O  0.2561  0.7304  0.4888
O  0.2774  0.4877  0.7674
O  0.2774  0.5123  0.2674
O  0.2988  0.2625  0.5196
O  0.2988  0.7375  0.0196
O  0.7012  0.2625  0.9804
O  0.7012  0.7375  0.4804
O  0.7226  0.4877  0.7326
O  0.7226  0.5123  0.2326
O  0.7439  0.2696  0.5112
O  0.7439  0.7304  0.0112
O  0.7492  0.0362  0.7523
O  0.7492  0.9638  0.2523

Summary:
E_form (uncorrected) = -1.37 eV/atom
total magnetization = 12.0 Bohr magnetons per cell
symmetry = P2/c
distance to the lowest polymorph of the same formula = 0 meV/atom

---

Question: The highest total magnetization belongs to which entry?
Answer: Li2Fe3TeO8